Entry 1:
The following is a PBE-GGA calculation of a relaxed structure of Ac5TbAs6, from the Alexandria database.

a = 7.7740 Å, b = 7.7740 Å, c = 7.7716 Å
α = 99.61°, β = 99.61°, γ = 120.00°
Sites, in units of the cell vectors:
Ac1 0.0000 0.0000 0.0000
Ac2 0.1661 0.8339 0.5000
Ac3 0.3322 0.6678 0.0000
Ac4 0.6678 0.3322 0.0000
Ac5 0.8339 0.1661 0.5000
Tb1 0.5000 0.5000 0.5000
As1 0.0979 0.4194 0.2577
As2 0.2600 0.2600 0.7434
As3 0.4194 0.0979 0.2577
As4 0.5806 0.9021 0.7423
As5 0.7400 0.7400 0.2566
As6 0.9021 0.5806 0.7423

Computed properties:
The magnetic moment is 0.00 μB/f.u. The total energy comes out at -70.657 eV per cell. For the formation energy, the calculation gives -1466 meV/atom. As for the space-group type: C2/m.


Entry 2:
The following is a PBE-GGA calculation of a relaxed structure of AcTb4As5, from the Alexandria database.

a = 7.3127 Å, b = 7.3127 Å, c = 10.3686 Å
α = 118.11°, β = 118.11°, γ = 33.58°
Sites, in units of the cell vectors:
Ac1 0.0000 0.0000 0.0000
Tb1 0.2006 0.2006 0.7929
Tb2 0.4026 0.4026 0.5997
Tb3 0.5974 0.5974 0.4003
Tb4 0.7994 0.7994 0.2071
As1 0.0000 0.0000 0.5000
As2 0.2047 0.2047 0.3121
As3 0.3917 0.3917 0.1073
As4 0.6083 0.6083 0.8927
As5 0.7953 0.7953 0.6879

Computed properties:
The magnetic moment is 0.00 μB/f.u. The total energy comes out at -60.833 eV per cell. For the formation energy, the calculation gives -1496 meV/atom. As for the space-group type: C2/m.


Entry 3:
The following is a PBE-GGA calculation of a relaxed structure of AcTbAs2, from the Alexandria database.

a = 7.5311 Å, b = 7.5311 Å, c = 7.5311 Å
α = 33.54°, β = 33.54°, γ = 33.54°
Sites, in units of the cell vectors:
Ac1 0.0000 0.0000 0.0000
Tb1 0.5000 0.5000 0.5000
As1 0.2427 0.2427 0.2427
As2 0.7573 0.7573 0.7573

Computed properties:
The magnetic moment is 0.00 μB/f.u. The calculation puts the energy above the most stable polymorph in this dataset at 0 kJ/mol of formula units. The total energy comes out at -23.950 eV per cell. For the formation energy, the calculation gives -1478 meV/atom. As for the space-group type: R-3m.


Entry 4:
The following is a PBE-GGA calculation of a relaxed structure of Ac2TbAs3, from the Alexandria database.

a = 14.6584 Å, b = 13.9738 Å, c = 7.6541 Å
α = 79.50°, β = 69.61°, γ = 30.89°
Sites, in units of the cell vectors:
Ac1 0.0425 0.0425 0.2075
Ac2 0.1239 0.1239 0.6261
Ac3 0.2075 0.2075 0.0425
Ac4 0.3739 0.3739 0.8761
Ac5 0.6261 0.6261 0.1239
Ac6 0.7925 0.7925 0.9575
Ac7 0.8761 0.8761 0.3739
Ac8 0.9575 0.9575 0.7925
Tb1 0.2913 0.2913 0.4587
Tb2 0.4587 0.4587 0.2913
Tb3 0.5413 0.5413 0.7087
Tb4 0.7087 0.7087 0.5413
As1 0.0380 0.5394 0.2270
As2 0.1416 0.6084 0.6084
As3 0.2270 0.6955 0.0380
As4 0.3045 0.7730 0.4606
As5 0.3916 0.8584 0.8584
As6 0.4606 0.9620 0.3045
As7 0.5394 0.0380 0.6955
As8 0.6084 0.1416 0.1416
As9 0.6955 0.2270 0.5394
As10 0.7730 0.3045 0.9620
As11 0.8584 0.3916 0.3916
As12 0.9620 0.4606 0.7730

Computed properties:
The magnetic moment is 0.00 μB/f.u. The total energy comes out at -142.301 eV per cell. For the formation energy, the calculation gives -1463 meV/atom. As for the space-group type: Fddd.


Entry 5:
The following is a PBE-GGA calculation of a relaxed structure of AcTbAs2, from the Alexandria database.

a = 9.2229 Å, b = 9.2229 Å, c = 9.2229 Å
α = 26.99°, β = 26.99°, γ = 26.99°
Sites, in units of the cell vectors:
Ac1 0.0000 0.0000 0.0000
Tb1 0.5000 0.5000 0.5000
As1 0.1109 0.1109 0.1109
As2 0.8891 0.8891 0.8891

Computed properties:
The magnetic moment is 0.37 μB/f.u. The calculation puts the energy above the most stable polymorph in this dataset at 371 kJ/mol of formula units. The total energy comes out at -20.100 eV per cell. For the formation energy, the calculation gives -516 meV/atom. As for the space-group type: R-3m.


Entry 6:
The following is a PBE-GGA calculation of a relaxed structure of AcTb2As, from the Alexandria database.

a = 11.0363 Å, b = 11.0363 Å, c = 11.0363 Å
α = 20.28°, β = 20.28°, γ = 20.28°
Sites, in units of the cell vectors:
Ac1 0.0000 0.0000 0.0000
Tb1 0.1143 0.1143 0.1143
Tb2 0.8857 0.8857 0.8857
As1 0.5000 0.5000 0.5000

Computed properties:
The magnetic moment is 0.00 μB/f.u. The total energy comes out at -19.949 eV per cell. For the formation energy, the calculation gives -483 meV/atom. As for the space-group type: R-3m.


Entry 7:
The following is a PBE-GGA calculation of a relaxed structure of AcTbTeAs, from the Alexandria database.

a = 8.1662 Å, b = 8.1662 Å, c = 8.1662 Å
α = 30.75°, β = 30.75°, γ = 30.75°
Sites, in units of the cell vectors:
Ac1 0.0000 0.0000 0.0000
Tb1 0.1885 0.1885 0.1885
Te1 0.4337 0.4337 0.4337
As1 0.5880 0.5880 0.5880

Computed properties:
The magnetic moment is 0.00 μB/f.u. The total energy comes out at -22.305 eV per cell. As for the formation energy (no corrections): -1.444 eV/atom. As for the space-group type: R3m.


Entry 8:
The following is a PBE-GGA calculation of a relaxed structure of Ac4TbTh3As8, from the Alexandria database.

a = 8.7911 Å, b = 8.7911 Å, c = 8.7911 Å
α = 59.53°, β = 59.53°, γ = 59.53°
Sites, in units of the cell vectors:
Ac1 0.0000 0.0000 0.0000
Ac2 0.0000 0.5000 0.5000
Ac3 0.5000 0.0000 0.5000
Ac4 0.5000 0.5000 0.0000
Tb1 0.5000 0.5000 0.5000
Th1 0.0000 0.0000 0.5000
Th2 0.0000 0.5000 0.0000
Th3 0.5000 0.0000 0.0000
As1 0.2436 0.2436 0.2436
As2 0.2446 0.7424 0.7424
As3 0.2576 0.2576 0.7554
As4 0.2576 0.7554 0.2576
As5 0.7424 0.2446 0.7424
As6 0.7424 0.7424 0.2446
As7 0.7554 0.2576 0.2576
As8 0.7564 0.7564 0.7564

Computed properties:
The magnetic moment is 0.00 μB/f.u. The total energy comes out at -103.865 eV per cell. For the formation energy, the calculation gives -1459 meV/atom. As for the space-group type: R-3m.


Entry 9:
The following is a PBE-GGA calculation of a relaxed structure of Ac3TbTh2As6, from the Alexandria database.

a = 7.5549 Å, b = 7.5549 Å, c = 7.6198 Å
α = 99.50°, β = 99.50°, γ = 120.03°
Sites, in units of the cell vectors:
Ac1 0.0000 0.0000 0.0000
Ac2 0.3333 0.6667 0.0000
Ac3 0.6667 0.3333 0.0000
Tb1 0.5000 0.5000 0.5000
Th1 0.1666 0.8334 0.5000
Th2 0.8334 0.1666 0.5000
As1 0.0920 0.4237 0.2709
As2 0.2449 0.2449 0.7298
As3 0.4237 0.0920 0.2709
As4 0.5763 0.9080 0.7291
As5 0.7551 0.7551 0.2702
As6 0.9080 0.5763 0.7291

Computed properties:
The magnetic moment is 0.00 μB/f.u. The total energy comes out at -77.284 eV per cell. For the formation energy, the calculation gives -1466 meV/atom. As for the space-group type: C2/m.


Entry 10:
The following is a PBE-GGA calculation of a relaxed structure of AcTb2TmAs4, from the Alexandria database.

a = 7.3266 Å, b = 4.2336 Å, c = 7.3331 Å
α = 90.00°, β = 109.37°, γ = 90.00°
Sites, in units of the cell vectors:
Ac1 0.0000 0.0000 0.0000
Tb1 0.0000 0.5000 0.5000
Tb2 0.5000 0.0000 0.5000
Tm1 0.5000 0.5000 0.0000
As1 0.2603 0.0000 0.7459
As2 0.2667 0.5000 0.2634
As3 0.7333 0.5000 0.7366
As4 0.7397 0.0000 0.2541

Computed properties:
The magnetic moment is 0.00 μB/f.u. The total energy comes out at -48.127 eV per cell. For the formation energy, the calculation gives -1461 meV/atom. As for the space-group type: P2/m.


Entry 11:
The following is a PBE-GGA calculation of a relaxed structure of Ac2TbTmAs4, from the Alexandria database.

a = 7.4953 Å, b = 4.3301 Å, c = 7.4954 Å
α = 90.00°, β = 109.45°, γ = 90.00°
Sites, in units of the cell vectors:
Ac1 0.0000 0.0000 0.0000
Ac2 0.5000 0.5000 0.0000
Tb1 0.0000 0.5000 0.5000
Tm1 0.5000 0.0000 0.5000
As1 0.2443 0.0000 0.7264
As2 0.2604 0.5000 0.2749
As3 0.7396 0.5000 0.7251
As4 0.7557 0.0000 0.2736

Computed properties:
The magnetic moment is 0.00 μB/f.u. The total energy comes out at -47.611 eV per cell. For the formation energy, the calculation gives -1462 meV/atom. As for the space-group type: P2/m.


Entry 12:
The following is a PBE-GGA calculation of a relaxed structure of Ac2TbYAs4, from the Alexandria database.

a = 7.5194 Å, b = 4.3438 Å, c = 7.5239 Å
α = 90.00°, β = 109.44°, γ = 90.00°
Sites, in units of the cell vectors:
Ac1 0.0000 0.0000 0.0000
Ac2 0.5000 0.5000 0.0000
Tb1 0.0000 0.5000 0.5000
Y1 0.5000 0.0000 0.5000
As1 0.2429 0.0000 0.7280
As2 0.2576 0.5000 0.2722
As3 0.7424 0.5000 0.7278
As4 0.7571 0.0000 0.2720

Computed properties:
The magnetic moment is 0.00 μB/f.u. The total energy comes out at -49.767 eV per cell. For the formation energy, the calculation gives -1482 meV/atom. As for the space-group type: P2/m.


Q: Among the records above, which one has the highest magnetic moment?
A: number 5


Q: The highest magnetic moment belongs to which entry?
A: number 5